Record 1
MgAg2Te: optimized geometry, PBE.

Its calculated density is 6.80 Mg/m³. For the energy above the most stable polymorph in this dataset, the calculation gives 0.023 eV per atom. For the formation energy without anion corrections, the calculation gives -0.53 eV/f.u.

It has space group Pm (No. 6), with a = 3.550 Å, b = 3.931 Å, c = 6.553 Å, α = 90.00°, β = 101.12° and γ = 90.00°. The inequivalent atoms are Mg at (0.000, 0.000, 0.000), Ag at (0.383, 0.500, 0.750), Ag at (0.819, 0.000, 0.569) and Te at (0.590, 0.500, 0.219).


Record 2
Fe2BOs: optimized geometry, PBE.

Its calculated density is 9.57 Mg/m³. As for the raw total energy: -7.78 eV/atom.

It has space group I-42d (No. 122), with a = 4.666 Å, b = 4.666 Å, c = 9.974 Å, α = 90.00°, β = 90.00° and γ = 90.00°. The inequivalent atoms are Fe at (0.180, 0.250, 0.125), B at (0.000, 0.000, 0.000) and Os at (0.000, 0.000, 0.500).


Record 3
SiIr: optimized geometry, PBE.

Its calculated density is 9.54 Mg/m³. For the formation energy without anion corrections, the calculation gives -0.27 eV/f.u.

It has space group P6_3mc (No. 186), with a = 3.8629 Å, b = 3.8629 Å, c = 5.9360 Å, α = 90.00°, β = 90.00° and γ = 120.00°. The inequivalent atoms are Si at (0.3333, 0.6667, 0.0000) and Ir at (0.3333, 0.6667, 0.3904).


> Which of these has the lowest calculated density?

MgAg2Te